DFT (GGA-PBE) results for crystalline Dy3Er9Tm2 at its relaxed geometry.

a b c (Å): 6.145 8.836 8.890
angles (deg): 69.41 81.86 75.48
Sites, in units of the cell vectors:
Dy: 0.000 0.000 0.000
Dy: 0.106 0.229 0.422
Dy: 0.633 0.750 0.055
Er: 0.080 0.399 0.724
Er: 0.312 0.856 0.349
Er: 0.425 0.196 0.022
Er: 0.455 0.026 0.722
Er: 0.526 0.424 0.439
Er: 0.542 0.610 0.730
Er: 0.702 0.051 0.362
Er: 0.832 0.364 0.085
Er: 0.996 0.814 0.708
Tm: 0.219 0.569 0.087
Tm: 0.904 0.665 0.386

Summary:
VASP energy ... -62.05 eV/cell
Energy of formation ... 0.1257 eV per atom



DFT (GGA-PBE) results for crystalline Dy7Er2Tm3 at its relaxed geometry.

a b c (Å): 6.155 5.427 11.883
angles (deg): 90.00 90.94 90.00
Sites, in units of the cell vectors:
Dy: 0.000 0.000 0.000
Dy: 0.090 0.500 0.169
Dy: 0.238 0.500 0.455
Dy: 0.437 0.000 0.181
Dy: 0.563 0.000 0.819
Dy: 0.762 0.500 0.545
Dy: 0.910 0.500 0.831
Er: 0.391 0.500 0.723
Er: 0.609 0.500 0.277
Tm: 0.057 0.000 0.659
Tm: 0.500 0.500 0.000
Tm: 0.943 0.000 0.341

Summary:
E above lowest polymorph ... 230 kJ/mol of formula units
VASP energy ... -50.97 eV/cell
Energy of formation ... 0.3154 eV per atom



Q: Number 2 is which compound?
A: Dy7Er2Tm3



Q: Which formula does entry 2 have?
A: Dy7Er2Tm3